No. 1
Here is a relaxed structure of LiCuCO3 from the Alexandria database. Energies are from PBEsol.

Cell: 4.9789 5.0899 5.7973 Å, 111.38 91.26 118.60°
Last column: nearest neighbours and their distance in Å.
Space group P-1 (No. 2)
One atom of each set of equivalent atoms:
Li1 0.2293 0.3292 0.2300 [2 per cell]  3 O 1.91-1.94
Cu1 0.4357 0.9711 0.7624 [2 per cell]  3 O 1.94-2.02
C1 0.0897 0.3146 0.7481 [2 per cell]  3 O 1.29-1.30
O1 0.1061 0.0977 0.8044 [2 per cell]  1 C 1.30
O2 0.1698 0.6857 0.2663 [2 per cell]  1 C 1.29
O3 0.3331 0.5295 0.7043 [2 per cell]  1 C 1.29

## Properties
* E above lowest polymorph: 43 meV/atom
* volume: 9.71 A^3/atom
* formation energy (no corrections): -1.312 eV per atom
* N(E_F): 0.00 states/eV/cell


No. 2
Here is a relaxed structure of Li6Cu2C4SO16 from the Alexandria database. Energies are from PBEsol.

Cell: 13.0131 13.0131 13.0131 Å, 90.00 90.00 90.00°
Last column: nearest neighbours and their distance in Å.
Space group Fd-3 (No. 203, origin choice 2)
One atom of each set of equivalent atoms:
Li1 0.0925 0.3750 0.3750 [48 per cell]  4 O 2.04-2.18
Cu1 0.0000 0.0000 0.5000 [16 per cell]  6 O 2.08
C1 0.0256 0.0256 0.7244 [32 per cell]  3 O 1.29
S1 0.1250 0.1250 0.1250 [8 per cell]  4 O 1.49
O1 0.0211 0.2930 0.5973 [96 per cell]  1 C 1.29
O2 0.0590 0.0590 0.0590 [32 per cell]  1 S 1.49

## Properties
* volume: 9.50 A^3/atom
* formation energy (no corrections): -1.558 eV per atom
* N(E_F): 106.02 states/eV/cell


No. 3
Here is a relaxed structure of Li4Cu2C4SO16 from the Alexandria database. Energies are from PBEsol.

Cell: 12.5910 12.8852 13.8297 Å, 90.00 90.00 90.00°
Last column: nearest neighbours and their distance in Å.
Space group Fddd (No. 70, origin choice 2)
One atom of each set of equivalent atoms:
Li1 0.0807 0.3750 0.3750 [16 per cell]  4 O 2.09
Li2 0.1250 0.3300 0.1250 [16 per cell]  6 O 2.12-2.28
Cu1 0.0000 0.0000 0.5000 [16 per cell]  6 O 2.00-2.02
C1 0.0261 0.0284 0.7100 [32 per cell]  3 O 1.28-1.29
S1 0.1250 0.1250 0.1250 [8 per cell]  4 O 1.49
O1 0.0184 0.0987 0.7758 [32 per cell]  1 C 1.29
O2 0.0384 0.2762 0.8882 [32 per cell]  1 C 1.28
O3 0.0550 0.0561 0.0666 [32 per cell]  1 S 1.49
O4 0.0989 0.2919 0.5308 [32 per cell]  1 C 1.29

## Properties
* volume: 10.39 A^3/atom
* formation energy (no corrections): -1.370 eV per atom
* N(E_F): 31.22 states/eV/cell


No. 4
Here is a relaxed structure of MgCuPt2C from the Alexandria database. Energies are from PBEsol.

Cell: 4.1629 4.1629 3.8718 Å, 90.00 90.00 90.00°
Last column: nearest neighbours and their distance in Å.
Space group P4/mmm (No. 123)
One atom of each set of equivalent atoms:
Mg1 0.0000 0.0000 0.0000 [1 per cell]  8 Pt 2.84, 4 Cu 2.94
Cu1 0.5000 0.5000 0.0000 [1 per cell]  2 C 1.94
Pt1 0.0000 0.5000 0.5000 [2 per cell]  2 C 2.08
C1 0.5000 0.5000 0.5000 [1 per cell]  2 Cu 1.94, 4 Pt 2.08

## Properties
* volume: 13.42 A^3/atom
* calculated formation energy: -0.012 eV per atom
* N(E_F): 2.42 states/eV/cell


No. 5
Here is a relaxed structure of Mg2TiCuC from the Alexandria database. Energies are from PBEsol.

Cell: 4.5120 4.5120 4.5691 Å, 90.00 90.00 90.00°
Last column: nearest neighbours and their distance in Å.
Space group P4/mmm (No. 123)
One atom of each set of equivalent atoms:
Mg1 0.0000 0.5000 0.0000 [2 per cell]  2 Cu 2.26
Ti1 0.0000 0.0000 0.5000 [1 per cell]  2 Cu 2.28
Cu1 0.0000 0.0000 0.0000 [1 per cell]  4 Mg 2.26, 2 Ti 2.28
C1 0.5000 0.5000 0.5000 [1 per cell]  4 Ti 3.19, 8 Mg 3.21

## Properties
* volume: 18.60 A^3/atom
* calculated formation energy: 1.484 eV per atom
* N(E_F): 3.61 states/eV/cell


No. 6
Here is a relaxed structure of CuCN2O from the Alexandria database. Energies are from PBEsol.

Cell: 3.6809 3.6809 3.7505 Å, 90.00 90.00 90.00°
Last column: nearest neighbours and their distance in Å.
Space group P4/mmm (No. 123)
One atom of each set of equivalent atoms:
Cu1 0.0000 0.0000 0.0000 [1 per cell]  4 N 1.84, 2 O 1.88
C1 0.5000 0.5000 0.5000 [1 per cell]  4 O 2.60, 8 N 2.63
N1 0.0000 0.5000 0.0000 [2 per cell]  2 Cu 1.84
O1 0.0000 0.0000 0.5000 [1 per cell]  2 Cu 1.88

## Properties
* volume: 10.16 A^3/atom
* formation energy (no corrections): 2.700 eV per atom
* N(E_F): 1.99 states/eV/cell


No. 7
Here is a relaxed structure of Na3CuPCO7 from the Alexandria database. Energies are from PBEsol.

Cell: 5.3940 6.2798 8.9519 Å, 90.00 90.86 90.00°
Last column: nearest neighbours and their distance in Å.
Space group P2_1 (No. 4)
One atom of each set of equivalent atoms:
Na1 0.0018 0.0000 0.0027 [2 per cell]  6 O 2.31-2.47
Na2 0.4495 0.2641 0.1782 [2 per cell]  5 O 2.26-2.51
Na3 0.4972 0.9838 0.4888 [2 per cell]  3 O 2.24-2.47
Cu1 0.0853 0.7431 0.3128 [2 per cell]  4 O 1.96-1.98
P1 0.0032 0.7437 0.6394 [2 per cell]  4 O 1.53-1.57
C1 0.4910 0.7463 0.1243 [2 per cell]  3 O 1.28-1.31
O1 0.0836 0.4389 0.2659 [2 per cell]  1 P 1.57
O2 0.0942 0.0493 0.2688 [2 per cell]  1 P 1.57
O3 0.1375 0.2465 0.5140 [2 per cell]  1 P 1.56
O4 0.2814 0.2499 0.9157 [2 per cell]  1 C 1.28
O5 0.2845 0.7410 0.6215 [2 per cell]  1 P 1.53
O6 0.3121 0.7484 0.0271 [2 per cell]  1 C 1.29
O7 0.4392 0.7384 0.2668 [2 per cell]  1 C 1.31

## Properties
* E above lowest polymorph: 16 meV/atom
* volume: 11.66 A^3/atom
* formation energy (no corrections): -1.755 eV per atom
* N(E_F): 0.92 states/eV/cell


No. 8
Here is a relaxed structure of Na2CuPCO7 from the Alexandria database. Energies are from PBEsol.

Cell: 5.1165 6.4153 8.9144 Å, 90.00 91.20 90.00°
Last column: nearest neighbours and their distance in Å.
Space group P2_1/m (No. 11)
One atom of each set of equivalent atoms:
Na1 0.2385 0.0102 0.2585 [4 per cell]  5 O 2.27-2.41
Cu1 0.2153 0.2500 0.8551 [2 per cell]  6 O 1.98-2.07
P1 0.2895 0.7500 0.9256 [2 per cell]  4 O 1.54-1.56
C1 0.2747 0.2500 0.5805 [2 per cell]  3 O 1.25-1.31
O1 0.0465 0.2500 0.6418 [2 per cell]  1 C 1.30
O2 0.1603 0.7500 0.0799 [2 per cell]  1 P 1.54
O3 0.2051 0.5600 0.8289 [4 per cell]  1 P 1.55
O4 0.3075 0.2500 0.4418 [2 per cell]  1 C 1.25
O5 0.4066 0.2500 0.0507 [2 per cell]  1 P 1.56
O6 0.4678 0.2500 0.6786 [2 per cell]  1 C 1.31

## Properties
* volume: 12.19 A^3/atom
* formation energy (no corrections): -1.635 eV per atom
* N(E_F): 8.15 states/eV/cell


No. 9
Here is a relaxed structure of Na3CuPCO7 from the Alexandria database. Energies are from PBEsol.

Cell: 5.1599 6.4263 9.0425 Å, 90.00 91.51 90.00°
Last column: nearest neighbours and their distance in Å.
Space group P2_1/m (No. 11)
One atom of each set of equivalent atoms:
Na1 0.2208 0.2500 0.0913 [2 per cell]  4 O 2.28-2.41
Na2 0.2431 0.0009 0.7374 [4 per cell]  4 O 2.23-2.43
Cu1 0.2320 0.7500 0.3562 [2 per cell]  4 O 1.93-2.01
P1 0.3167 0.2500 0.4207 [2 per cell]  4 O 1.52-1.57
C1 0.2872 0.7500 0.0586 [2 per cell]  3 O 1.28-1.31
O1 0.0922 0.7500 0.1488 [2 per cell]  1 C 1.31
O2 0.1812 0.2500 0.5682 [2 per cell]  1 P 1.52
O3 0.2344 0.7500 0.9180 [2 per cell]  1 C 1.29
O4 0.2439 0.0592 0.3208 [4 per cell]  1 P 1.56
O5 0.3811 0.7500 0.5546 [2 per cell]  1 P 1.57
O6 0.4790 0.2500 0.8901 [2 per cell]  1 C 1.28

## Properties
* E above lowest polymorph: 0 meV/atom
* volume: 11.53 A^3/atom
* formation energy (no corrections): -1.772 eV per atom
* N(E_F): 1.36 states/eV/cell


No. 10
Here is a relaxed structure of Na3CuCSO7 from the Alexandria database. Energies are from PBEsol.

Cell: 5.2297 7.1978 8.7978 Å, 90.00 92.79 90.00°
Last column: nearest neighbours and their distance in Å.
Space group P2_1/m (No. 11)
One atom of each set of equivalent atoms:
Na1 0.1808 0.2500 0.0755 [2 per cell]  5 O 2.25-2.42
Na2 0.3152 0.5006 0.7267 [4 per cell]  5 O 2.38-2.57
Cu1 0.1561 0.7500 0.3459 [2 per cell]  2 O 1.88-1.92
C1 0.3162 0.7500 0.0496 [2 per cell]  3 O 1.28-1.31
S1 0.1926 0.2500 0.4062 [2 per cell]  4 O 1.48-1.53
O1 0.0905 0.7500 0.5585 [2 per cell]  1 S 1.53
O2 0.1144 0.7500 0.1321 [2 per cell]  1 C 1.31
O3 0.2426 0.0828 0.3131 [4 per cell]  1 S 1.49
O4 0.2783 0.7500 0.9026 [2 per cell]  1 C 1.30
O5 0.3486 0.2500 0.5507 [2 per cell]  1 S 1.48
O6 0.4572 0.2500 0.8870 [2 per cell]  1 C 1.28

## Properties
* volume: 12.72 A^3/atom
* formation energy (no corrections): -1.522 eV per atom
* N(E_F): 0.00 states/eV/cell


No. 11
Here is a relaxed structure of Na2CuCSO7 from the Alexandria database. Energies are from PBEsol.

Cell: 4.9970 7.1832 8.5446 Å, 90.00 91.77 90.00°
Last column: nearest neighbours and their distance in Å.
Space group P2_1/m (No. 11)
One atom of each set of equivalent atoms:
Na1 0.2447 0.0036 0.2677 [4 per cell]  5 O 2.30-2.54
Cu1 0.2134 0.2500 0.8610 [2 per cell]  4 O 1.98-2.00
C1 0.2710 0.2500 0.5826 [2 per cell]  3 O 1.25-1.31
S1 0.2837 0.7500 0.9066 [2 per cell]  4 O 1.47-1.52
O1 0.0378 0.2500 0.6477 [2 per cell]  1 C 1.31
O2 0.1601 0.7500 0.0648 [2 per cell]  1 S 1.50
O3 0.2078 0.5808 0.8196 [4 per cell]  1 S 1.47
O4 0.3029 0.2500 0.4379 [2 per cell]  1 C 1.25
O5 0.4143 0.2500 0.0642 [2 per cell]  1 S 1.52
O6 0.4693 0.2500 0.6872 [2 per cell]  1 C 1.31

## Properties
* volume: 12.77 A^3/atom
* formation energy (no corrections): -1.471 eV per atom


No. 12
Here is a relaxed structure of Na6Cu2C4SO16 from the Alexandria database. Energies are from PBEsol.

Cell: 13.8192 13.8192 13.8192 Å, 90.00 90.00 90.00°
Last column: nearest neighbours and their distance in Å.
Space group Fd-3 (No. 203, origin choice 2)
One atom of each set of equivalent atoms:
Na1 0.0921 0.3750 0.3750 [48 per cell]  6 O 2.33-2.46
Cu1 0.0000 0.0000 0.5000 [16 per cell]  6 O 2.09
C1 0.0322 0.0322 0.7178 [32 per cell]  3 O 1.30
S1 0.1250 0.1250 0.1250 [8 per cell]  4 O 1.49
O1 0.0195 0.1025 0.7785 [96 per cell]  1 C 1.30
O2 0.0627 0.0627 0.0627 [32 per cell]  1 S 1.49

## Properties
* volume: 11.38 A^3/atom
* formation energy (no corrections): -1.506 eV per atom
* N(E_F): 107.63 states/eV/cell